(1)
! Ce2PrSn2Hg2 PBE-GGA optimized geometry; values from VASP
&SYSTEM
  ibrav = 0, nat = 7, ntyp = 4
/
ATOMIC_SPECIES
Ce 140.12 Ce.upf
Pr 140.91 Pr.upf
Sn 118.71 Sn.upf
Hg 200.59 Hg.upf
ATOMIC_POSITIONS crystal
Ce 0.1435 0.1435 0.1435
Ce 0.8565 0.8565 0.8565
Pr 0.0000 0.0000 0.0000
Sn 0.2706 0.2706 0.2706
Sn 0.7294 0.7294 0.7294
Hg 0.4291 0.4291 0.4291
Hg 0.5709 0.5709 0.5709
CELL_PARAMETERS angstrom
2.4347 1.4057 9.4293
-2.4347 1.4057 9.4293
0.0000 -2.8113 9.4293
! Uncorrected energy, eV per cell: -27.52
! Space group: No. 166
! Formation energy, eV per atom: -0.3229

(2)
! CePrSnHg PBE-GGA optimized geometry; values from VASP
&SYSTEM
  ibrav = 0, nat = 4, ntyp = 4
/
ATOMIC_SPECIES
Ce 140.12 Ce.upf
Pr 140.91 Pr.upf
Sn 118.71 Sn.upf
Hg 200.59 Hg.upf
ATOMIC_POSITIONS crystal
Ce 0.0000 0.0000 0.0000
Pr 0.0000 0.0000 0.5142
Sn 0.5000 0.5000 0.7658
Hg 0.5000 0.5000 0.2572
CELL_PARAMETERS angstrom
4.0583 0.0000 0.0000
0.0000 4.0583 0.0000
0.0000 0.0000 6.9899
! Uncorrected energy, eV per cell: -17.00
! Space group: No. 99
! Formation energy, eV per atom: -0.4965
! Energy above the most stable polymorph in this dataset, eV per atom: 0.017

(3)
! CePrSnHg PBE-GGA optimized geometry; values from VASP
&SYSTEM
  ibrav = 0, nat = 4, ntyp = 4
/
ATOMIC_SPECIES
Ce 140.12 Ce.upf
Pr 140.91 Pr.upf
Sn 118.71 Sn.upf
Hg 200.59 Hg.upf
ATOMIC_POSITIONS crystal
Ce 0.0000 0.0000 0.0000
Pr 0.5000 0.5000 0.5000
Sn 0.2500 0.2500 0.2500
Hg 0.7500 0.7500 0.7500
CELL_PARAMETERS angstrom
0.0000 3.8673 3.8673
3.8673 0.0000 3.8673
3.8673 3.8673 0.0000
! Uncorrected energy, eV per cell: -17.07
! Space group: No. 216
! Formation energy, eV per atom: -0.5138
! Energy above the most stable polymorph in this dataset, eV per atom: 0.000